[1]
A plane-wave DFT calculation with PBE-GGA was carried out for an optimized crystal structure of Ac3Pm3DyTe8.

Calculated values
- ΔE_f (raw) (eV/atom) = -1.47
- calculated total energy (eV/cell) = -78.3
- SG = No. 166

Cell lengths 9.2294, 9.2294, 9.2294 Å; angles 58.84, 58.84, 58.84 degrees
Closest atoms and distances in Å follow each position.
Atoms (fractional coordinates):
Ac  0.0000  0.5000  0.5000  6 Te 3.31
Ac  0.5000  0.0000  0.5000  6 Te 3.31
Ac  0.5000  0.5000  0.0000  6 Te 3.31
Pm  0.0000  0.0000  0.5000  6 Te 3.16
Pm  0.0000  0.5000  0.0000  6 Te 3.16
Pm  0.5000  0.0000  0.0000  6 Te 3.16
Dy  0.5000  0.5000  0.5000  6 Te 3.17
Te  0.2444  0.2444  0.2444  3 Pm 3.16, 3 Ac 3.31
Te  0.2444  0.7448  0.7448  2 Pm 3.16, 1 Dy 3.17, 2 Ac 3.31
Te  0.2552  0.2552  0.7556  2 Pm 3.16, 1 Dy 3.17, 2 Ac 3.31
Te  0.2552  0.7556  0.2552  2 Pm 3.16, 1 Dy 3.17, 2 Ac 3.31
Te  0.7448  0.2444  0.7448  2 Pm 3.16, 1 Dy 3.17, 2 Ac 3.31
Te  0.7448  0.7448  0.2444  2 Pm 3.16, 1 Dy 3.17, 2 Ac 3.31
Te  0.7556  0.2552  0.2552  2 Pm 3.16, 1 Dy 3.17, 2 Ac 3.31
Te  0.7556  0.7556  0.7556  3 Pm 3.16, 3 Ac 3.31


[2]
A plane-wave DFT calculation with PBE-GGA was carried out for an optimized crystal structure of ScVIn2Au.

Calculated values
- calculated total energy (eV/cell) = -20.1
- SG = No. 123
- calculated formation energy (eV per atom) = 0.81

Cell lengths 5.1328, 5.1328, 5.2049 Å; angles 90.00, 90.00, 90.00 degrees
Closest atoms and distances in Å follow each position.
Atoms (fractional coordinates):
Sc  0.0000  0.0000  0.0000  2 Au 2.60
V  0.5000  0.5000  0.0000  4 Sc 3.63, 8 In 3.66
In  0.0000  0.5000  0.5000  2 Au 2.57
In  0.5000  0.0000  0.5000  2 Au 2.57
Au  0.0000  0.0000  0.5000  4 In 2.57, 2 Sc 2.60


[3]
A plane-wave DFT calculation with PBE-GGA was carried out for an optimized crystal structure of HfAg2I.

Calculated values
- ΔE_f (raw) (eV/atom) = 0.05
- calculated total energy (eV/cell) = -17.0
- SG = No. 8

Cell lengths 8.2879, 8.2879, 3.6233 Å; angles 102.43, 102.43, 24.37 degrees
Closest atoms and distances in Å follow each position.
Atoms (fractional coordinates):
Hf  0.0000  0.0000  0.0000  2 I 2.88, 5 Ag 2.92
Ag  0.1847  0.1847  0.1817  4 Ag 2.90, 1 Hf 2.92, 1 I 3.24
Ag  0.5932  0.5932  0.5917  4 Ag 2.90, 4 Hf 2.92
I  0.3555  0.3555  0.8563  2 Hf 2.88


[4]
A plane-wave DFT calculation with PBE-GGA was carried out for an optimized crystal structure of Rb2Ti2V.

Calculated values
- calculated total energy (eV/cell) = -37.1
- SG = No. 127
- calculated formation energy (eV per atom) = 1.66

Cell lengths 10.9838, 10.9838, 3.1169 Å; angles 90.00, 90.00, 90.00 degrees
Closest atoms and distances in Å follow each position.
Atoms (fractional coordinates):
Rb  0.2120  0.2880  0.0000  2 Rb 3.12
Rb  0.2880  0.7880  0.0000  2 Rb 3.12
Rb  0.7120  0.2120  0.0000  2 Rb 3.12
Rb  0.7880  0.7120  0.0000  2 Rb 3.12
Ti  0.0691  0.5691  0.5000  1 Ti 2.15
Ti  0.4309  0.0691  0.5000  1 Ti 2.15
Ti  0.5691  0.9309  0.5000  1 Ti 2.15
Ti  0.9309  0.4309  0.5000  1 Ti 2.15
V  0.0000  0.0000  0.0000  2 V 3.12
V  0.5000  0.5000  0.0000  2 V 3.12


Result set for mass density: 7.06; 6.33; 8.64; 2.81 Mg/m³, one per record in the order listed.